This record from the Alexandria database describes an optimized crystal structure of BaB3I. The functional is PBE.

abc: 4.7238 4.7238 4.7238
angles: 90.00 90.00 90.00
Space group Pm-3m (No. 221)
Asymmetric unit:
Ba 0.0000 0.0000 0.0000
B 0.0000 0.5000 0.5000
I 0.5000 0.5000 0.5000

Values from the calculation:
* E_form (uncorrected): 9.664 eV/f.u.
* calculated total energy: -2.77 eV/atom
* total moment: 0.00 μB/f.u.
* energy above the lowest structure with this stoichiometry: 0.000 eV/atom



This record from the Alexandria database describes an optimized crystal structure of BaB2MoI. The functional is PBE.

abc: 4.4722 4.4722 5.5807
angles: 90.00 90.00 90.00
Space group P4/mmm (No. 123)
Asymmetric unit:
Ba 0.0000 0.0000 0.0000
B 0.0000 0.5000 0.5000
Mo 0.5000 0.5000 0.5000
I 0.5000 0.5000 0.0000

Values from the calculation:
* E_form (uncorrected): 2.555 eV/f.u.
* calculated total energy: -5.02 eV/atom
* total moment: 0.00 μB/f.u.



This record from the Alexandria database describes an optimized crystal structure of BaBI2N. The functional is PBE.

abc: 6.5791 6.5791 3.0179
angles: 90.00 90.00 90.00
Space group P4/mmm (No. 123)
Asymmetric unit:
Ba 0.0000 0.0000 0.0000
B 0.5000 0.5000 0.5000
I 0.0000 0.5000 0.5000
N 0.5000 0.5000 0.0000

Values from the calculation:
* E_form (uncorrected): -0.300 eV/f.u.
* calculated total energy: -4.07 eV/atom
* total moment: 0.00 μB/f.u.
* energy above the lowest structure with this stoichiometry: 0.000 eV/atom



This record from the Alexandria database describes an optimized crystal structure of Ba2BI2N2. The functional is PBE.

abc: 10.9669 4.8703 8.3212
angles: 90.00 95.69 90.00
Space group C2/m (No. 12)
Asymmetric unit:
Ba 0.1767 0.0000 0.3087
B 0.0000 0.5000 0.5000
I 0.1327 0.0000 0.8500
N 0.1167 0.5000 0.4628

Values from the calculation:
* E_form (uncorrected): -7.651 eV/f.u.
* calculated total energy: -5.42 eV/atom
* total moment: 1.02 μB/f.u.